Entry from Alexandria: crystalline CeHfRe4 at its relaxed geometry (PBE-GGA).

Calculated values
The calculation puts the calculated formation energy at -107 meV/atom. The space group is No. 216. For the uncorrected energy, the calculation gives -11.05 eV per atom.

Cell lengths 5.389, 5.389, 5.389 Å; angles 60.00, 60.00, 60.00 degrees
Fractional coordinates of all 6 atoms:
Re 0.625 0.625 0.124
Re 0.625 0.124 0.625
Re 0.625 0.625 0.625
Re 0.124 0.625 0.625
Ce 0.250 0.250 0.250
Hf 0.000 0.000 0.000